Entry 1:
First-principles (PBE) data for a geometry-optimized Ta3ReF structure, as listed in Alexandria via LeMat-Bulk.

## Properties
calculated density	10.6	g/cm3
space group	Pm-3m
ΔE_f (raw)	1249	meV/atom

Cell: 4.8885 4.8885 4.8885 Å, 90.00 90.00 90.00°
Closest atoms and distances in Å follow each position.
Element x y z (fractional)
Ta1 0.0000 0.5000 0.0000  2 Re 2.44
Ta2 0.5000 0.0000 0.0000  2 Re 2.44
F1 0.5000 0.5000 0.5000  12 Ta 3.46
Ta3 0.0000 0.0000 0.5000  2 Re 2.44
Re1 0.0000 0.0000 0.0000  6 Ta 2.44

---

Entry 2:
First-principles (PBE) data for a geometry-optimized LiSc2Tl2 structure, as listed in Alexandria via LeMat-Bulk.

## Properties
calculated density	6.7	g/cm3
space group	P4/mbm
E_form	-0.114	eV per atom

Cell: 8.7133 8.7133 3.2818 Å, 90.00 90.00 90.00°
Closest atoms and distances in Å follow each position.
Element x y z (fractional)
Li1 0.5000 0.5000 0.0000  2 Li 3.28, 4 Sc 3.46, 8 Tl 3.60
Sc1 0.3780 0.8780 0.0000  6 Tl 2.96-3.13, 3 Sc 3.01-3.28
Tl1 0.6785 0.8215 0.5000  6 Sc 2.96-3.13, 2 Tl 3.28
Sc2 0.8780 0.6220 0.0000  6 Tl 2.96-3.13, 3 Sc 3.01-3.28
Tl2 0.1785 0.6785 0.5000  6 Sc 2.96-3.13, 2 Tl 3.28
Tl3 0.8215 0.3215 0.5000  6 Sc 2.96-3.13, 2 Tl 3.28
Sc3 0.6220 0.1220 0.0000  6 Tl 2.96-3.13, 3 Sc 3.01-3.28
Tl4 0.3215 0.1785 0.5000  6 Sc 2.96-3.13, 2 Tl 3.28
Li2 0.0000 0.0000 0.0000  2 Li 3.28, 4 Sc 3.46, 8 Tl 3.60
Sc4 0.1220 0.3780 0.0000  6 Tl 2.96-3.13, 3 Sc 3.01-3.28

---

Entry 3:
First-principles (PBE) data for a geometry-optimized Tm4Al structure, as listed in Alexandria via LeMat-Bulk.

## Properties
calculated density	7.1	g/cm3
space group	Pm-3m
E_form	0.358	eV per atom

Cell: 5.4780 5.4780 5.4780 Å, 90.00 90.00 90.00°
Closest atoms and distances in Å follow each position.
Element x y z (fractional)
Tm1 0.5000 0.5000 0.0000  2 Al 2.74
Tm2 0.5000 0.0000 0.5000  2 Al 2.74
Tm3 0.0000 0.0000 0.0000  12 Tm 3.87
Tm4 0.0000 0.5000 0.5000  2 Al 2.74
Al1 0.5000 0.5000 0.5000  6 Tm 2.74